[1]
Material: BaZn3Ge3
Method: DFT, PBE
State: optimized geometry

Lattice parameters (Å, degrees): 7.0071 7.0071 7.0071 90.00 90.00 90.00
Fractional positions:
1 Zn 0.2500 0.0000 0.5000
2 Zn 0.0000 0.5000 0.2500
3 Zn 0.5000 0.7500 0.0000
4 Zn 0.7500 0.0000 0.5000
5 Zn 0.0000 0.5000 0.7500
6 Zn 0.5000 0.2500 0.0000
7 Ge 0.0000 0.2500 0.5000
8 Ge 0.0000 0.7500 0.5000
9 Ge 0.5000 0.0000 0.7500
10 Ge 0.7500 0.5000 0.0000
11 Ge 0.5000 0.0000 0.2500
12 Ge 0.2500 0.5000 0.0000
13 Ba 0.5000 0.5000 0.5000
14 Ba 0.0000 0.0000 0.0000

Results
* polymorph energy (0 for the lowest one): 0.00 eV per formula unit
* energy relative to the elements: -0.718 eV/f.u.
* E: -2.90 eV/atom
* space group: Pm-3n (223)
* calculated density: 5.32 Mg/m³
* density of states at the Fermi level: 9.45 states/eV/cell

[2]
Material: Ba3Zn4Ge2
Method: DFT, PBE
State: optimized geometry

Lattice parameters (Å, degrees): 4.4833 6.6621 9.2294 96.93 90.00 109.66
Fractional positions:
1 Ba 0.6647 0.3294 0.6613
2 Ba 0.0000 0.0000 0.0000
3 Ba 0.3353 0.6706 0.3387
4 Zn 0.7234 0.4468 0.0635
5 Zn 0.2766 0.5532 0.9365
6 Zn 0.9446 0.8891 0.6163
7 Zn 0.0554 0.1109 0.3837
8 Ge 0.6118 0.2236 0.2786
9 Ge 0.3882 0.7764 0.7214

Results
* energy relative to the elements: -3.377 eV/f.u.
* E: -2.61 eV/atom
* space group: C2/m (12)
* calculated density: 5.28 Mg/m³
* density of states at the Fermi level: 5.50 states/eV/cell

[3]
Material: Ba2Zn2Ge
Method: DFT, PBE
State: optimized geometry

Lattice parameters (Å, degrees): 3.8764 3.8764 10.7009 79.56 79.56 90.00
Fractional positions:
1 Zn 0.7500 0.2500 0.5000
2 Zn 0.2500 0.7500 0.5000
3 Ge 0.0000 0.0000 0.0000
4 Ba 0.4006 0.4006 0.1988
5 Ba 0.5994 0.5994 0.8012

Results
* polymorph energy (0 for the lowest one): 0.85 eV per formula unit
* energy relative to the elements: -0.838 eV/f.u.
* E: -2.37 eV/atom
* space group: I4/mmm (139)
* calculated density: 5.11 Mg/m³
* density of states at the Fermi level: 3.73 states/eV/cell

[4]
Material: Ba4Zn3Ge
Method: DFT, PBE
State: optimized geometry

Lattice parameters (Å, degrees): 4.8804 4.6250 12.7013 90.00 90.00 90.00
Fractional positions:
1 Zn 0.0000 0.5000 0.5453
2 Zn 0.0000 0.0000 0.4421
3 Zn 0.5000 0.0000 0.9502
4 Ge 0.5000 0.5000 0.0661
5 Ba 0.5000 0.5000 0.3450
6 Ba 0.0000 0.5000 0.8686
7 Ba 0.0000 0.0000 0.1418
8 Ba 0.5000 0.0000 0.6409

Results
* energy relative to the elements: -2.052 eV/f.u.
* E: -2.27 eV/atom
* space group: Pmm2 (25)
* calculated density: 4.74 Mg/m³
* density of states at the Fermi level: 6.90 states/eV/cell

[5]
Material: Ba2Zn3Ge5
Method: DFT, PBE
State: optimized geometry

Lattice parameters (Å, degrees): 6.5602 9.0715 9.0715 70.95 68.80 68.80
Fractional positions:
1 Ba 0.1250 0.6249 0.1252
2 Ba 0.6250 0.1252 0.6249
3 Ba 0.8750 0.3751 0.8748
4 Ba 0.3750 0.8748 0.3751
5 Zn 0.3736 0.5046 0.7481
6 Zn 0.8736 0.7481 0.5046
7 Zn 0.6264 0.4954 0.2519
8 Zn 0.1264 0.2519 0.4954
9 Zn 0.2500 0.0000 0.0000
10 Zn 0.7500 0.0000 0.0000
11 Ge 0.3814 0.2484 0.9887
12 Ge 0.8814 0.9887 0.2484
13 Ge 0.6186 0.7516 0.0113
14 Ge 0.1186 0.0113 0.7516
15 Ge 0.4960 0.7540 0.7540
16 Ge 0.5040 0.2460 0.2460
17 Ge 0.7500 0.5000 0.5000
18 Ge 0.2500 0.5000 0.5000
19 Ge 0.0040 0.2460 0.2460
20 Ge 0.9960 0.7540 0.7540

Results
* polymorph energy (0 for the lowest one): 0.00 eV per formula unit
* energy relative to the elements: -3.405 eV/f.u.
* E: -3.42 eV/atom
* space group: Ibam (72)
* calculated density: 6.06 Mg/m³
* density of states at the Fermi level: 4.49 states/eV/cell

[6]
Material: Ba2Zn2Ge
Method: DFT, PBE
State: optimized geometry

Lattice parameters (Å, degrees): 7.5504 7.5504 5.1447 90.00 90.00 90.00
Fractional positions:
1 Zn 0.3819 0.8819 0.0000
2 Zn 0.8819 0.6181 0.0000
3 Zn 0.6181 0.1181 0.0000
4 Zn 0.1181 0.3819 0.0000
5 Ge 0.0000 0.0000 0.0000
6 Ge 0.5000 0.5000 0.0000
7 Ba 0.1913 0.6913 0.5000
8 Ba 0.6913 0.8087 0.5000
9 Ba 0.8087 0.3087 0.5000
10 Ba 0.3087 0.1913 0.5000

Results
* polymorph energy (0 for the lowest one): 0.76 eV per formula unit
* energy relative to the elements: -0.927 eV/f.u.
* E: -2.39 eV/atom
* space group: P4/mbm (127)
* calculated density: 5.41 Mg/m³
* density of states at the Fermi level: 11.37 states/eV/cell

[7]
Material: Ba2ZnGe2
Method: DFT, PBE
State: optimized geometry

Lattice parameters (Å, degrees): 3.9154 3.9154 10.5866 79.34 79.34 90.00
Fractional positions:
1 Zn 0.0000 0.0000 0.0000
2 Ge 0.7500 0.2500 0.5000
3 Ge 0.2500 0.7500 0.5000
4 Ba 0.3919 0.3919 0.2163
5 Ba 0.6081 0.6081 0.7837

Results
* polymorph energy (0 for the lowest one): 1.77 eV per formula unit
* energy relative to the elements: -0.600 eV/f.u.
* E: -2.99 eV/atom
* space group: I4/mmm (139)
* calculated density: 5.14 Mg/m³
* density of states at the Fermi level: 4.30 states/eV/cell

[8]
Material: Ba2Zn3Ge
Method: DFT, PBE
State: optimized geometry

Lattice parameters (Å, degrees): 6.6232 6.6232 9.1148 110.45 110.45 92.20
Fractional positions:
1 Ba 0.7500 0.2500 0.5000
2 Ba 0.7685 0.2315 0.0000
3 Ba 0.2500 0.7500 0.5000
4 Ba 0.2315 0.7685 0.0000
5 Zn 0.8239 0.8239 0.1678
6 Zn 0.6561 0.6561 0.8322
7 Zn 0.1761 0.1761 0.8322
8 Zn 0.3439 0.3439 0.1678
9 Zn 0.1715 0.1715 0.3430
10 Zn 0.8285 0.8285 0.6570
11 Ge 0.6652 0.6652 0.3304
12 Ge 0.3348 0.3348 0.6696

Results
* energy relative to the elements: -1.973 eV/f.u.
* E: -2.38 eV/atom
* space group: Fmmm (69)
* calculated density: 5.23 Mg/m³
* density of states at the Fermi level: 5.16 states/eV/cell

[9]
Material: BaZnGe
Method: DFT, PBE
State: optimized geometry

Lattice parameters (Å, degrees): 4.3570 4.4814 9.1788 101.93 76.21 89.97
Fractional positions:
1 Zn 0.6071 0.9868 0.5936
2 Zn 0.1067 0.4863 0.5937
3 Ge 0.5154 0.6106 0.7798
4 Ge 0.6979 0.3641 0.4075
5 Ba 0.2624 0.8227 0.2807
6 Ba 0.9507 0.1516 0.9068

Results
* energy relative to the elements: -0.763 eV/f.u.
* E: -2.86 eV/atom
* space group: P-1 (2)
* calculated density: 5.38 Mg/m³
* density of states at the Fermi level: 2.44 states/eV/cell

[10]
Material: Ba2ZnGe3
Method: DFT, PBE
State: optimized geometry

Lattice parameters (Å, degrees): 6.6967 6.6967 9.1317 114.73 114.73 81.91
Fractional positions:
1 Ba 0.2500 0.7500 0.5000
2 Ba 0.7612 0.7612 0.0000
3 Ba 0.7500 0.2500 0.5000
4 Ba 0.2388 0.2388 0.0000
5 Zn 0.3342 0.3342 0.6684
6 Zn 0.6658 0.6658 0.3316
7 Ge 0.6606 0.1714 0.8319
8 Ge 0.8286 0.3394 0.1681
9 Ge 0.3394 0.8286 0.1681
10 Ge 0.1714 0.6606 0.8319
11 Ge 0.8312 0.8312 0.6624
12 Ge 0.1688 0.1688 0.3376

Results
* polymorph energy (0 for the lowest one): 0.00 eV per formula unit
* energy relative to the elements: -3.048 eV/f.u.
* E: -3.67 eV/atom
* space group: Fmmm (69)
* calculated density: 5.49 Mg/m³
* density of states at the Fermi level: 5.90 states/eV/cell

[11]
Material: Ba2ZnGe2
Method: DFT, PBE
State: optimized geometry

Lattice parameters (Å, degrees): 6.5845 6.5845 6.0700 57.15 57.15 90.00
Fractional positions:
1 Zn 0.0000 0.0000 0.0000
2 Ge 0.3385 0.3385 0.3230
3 Ge 0.6615 0.6615 0.6770
4 Ba 0.7500 0.2500 0.5000
5 Ba 0.2500 0.7500 0.5000

Results
* polymorph energy (0 for the lowest one): 1.60 eV per formula unit
* energy relative to the elements: -0.765 eV/f.u.
* E: -3.02 eV/atom
* space group: I4/mmm (139)
* calculated density: 4.77 Mg/m³
* density of states at the Fermi level: 5.90 states/eV/cell

[12]
Material: BaZn3Ge
Method: DFT, PBE
State: optimized geometry

Lattice parameters (Å, degrees): 6.0569 6.0569 6.0569 90.00 90.00 90.00
Site moments in Bohr magnetons follow the coordinates.
Fractional positions:
1 Zn 0.0000 0.5000 0.0000  0.03
2 Zn 0.0000 0.0000 0.5000  0.02
3 Zn 0.5000 0.0000 0.0000  0.05
4 Ge 0.5000 0.5000 0.5000  0.54
5 Ba 0.0000 0.0000 0.0000  0.07

Results
* polymorph energy (0 for the lowest one): 6.91 eV per formula unit
* energy relative to the elements: 5.751 eV/f.u.
* E: -0.92 eV/atom
* space group: Pm-3m (221)
* calculated density: 3.04 Mg/m³
* density of states at the Fermi level: 4.69 states/eV/cell